(1)
VASP calculation (GGA-PBE) on an optimized crystal structure of LaHo2Rh9.

Output
spin magnetization	0.0	μB per formula unit
Fermi-level density of states	14.2	states/eV/cell
E_form	-0.57	eV/atom
density	10.887	g/cm3
V	17.731	Å³ per atom
final energy	-87.1	eV/f.u.

a = 5.2937 Å, b = 5.2937 Å, c = 9.2845 Å
α = 73.44°, β = 73.44°, γ = 60.00°
Atoms (fractional coordinates):
1 La 0.0000 0.0000 0.0000
2 Ho 0.8603 0.8603 0.4190
3 Ho 0.1397 0.1397 0.5810
4 Rh 0.6669 0.6669 0.9992
5 Rh 0.3331 0.3331 0.0008
6 Rh 0.5000 0.5000 0.5000
7 Rh 0.4159 0.4159 0.2512
8 Rh 0.9170 0.4159 0.2512
9 Rh 0.4159 0.9170 0.2512
10 Rh 0.5841 0.5841 0.7488
11 Rh 0.5841 0.0830 0.7488
12 Rh 0.0830 0.5841 0.7488


(2)
VASP calculation (GGA-PBE) on an optimized crystal structure of La2Ho3Rh2.

Output
spin magnetization	0.0	μB per formula unit
Fermi-level density of states	7.8	states/eV/cell
E_form	-0.57	eV/atom
density	8.454	g/cm3
V	27.453	Å³ per atom
final energy	-42.3	eV/f.u.

a = 3.8027 Å, b = 6.4369 Å, c = 8.7016 Å
α = 72.58°, β = 77.38°, γ = 72.82°
Atoms (fractional coordinates):
1 La 0.1657 0.4736 0.1949
2 La 0.8343 0.5264 0.8051
3 Ho 0.5000 0.0000 0.0000
4 Ho 0.3816 0.8109 0.4260
5 Ho 0.6184 0.1891 0.5740
6 Rh 0.1742 0.8952 0.7563
7 Rh 0.8258 0.1048 0.2437


(3)
VASP calculation (GGA-PBE) on an optimized crystal structure of LaHoRh.

Output
spin magnetization	0.0	μB per formula unit
excess energy over the best structure of this formula in the dataset	0	meV per atom
Fermi-level density of states	5.4	states/eV/cell
E_form	-0.61	eV/atom
density	8.385	g/cm3
V	26.850	Å³ per atom
final energy	-18.7	eV/f.u.

a = 4.8794 Å, b = 4.7906 Å, c = 6.9476 Å
α = 97.26°, β = 90.00°, γ = 90.00°
Atoms (fractional coordinates):
1 La 0.8135 0.8751 0.5261
2 La 0.3136 0.3576 0.3131
3 Ho 0.8136 0.3795 0.9249
4 Ho 0.3136 0.8535 0.9144
5 Rh 0.8136 0.9400 0.1461
6 Rh 0.3136 0.2929 0.6930


(4)
VASP calculation (GGA-PBE) on an optimized crystal structure of LaHoRh.

Output
spin magnetization	0.0	μB per formula unit
excess energy over the best structure of this formula in the dataset	99	meV per atom
Fermi-level density of states	3.4	states/eV/cell
E_form	-0.51	eV/atom
density	8.036	g/cm3
V	28.015	Å³ per atom
final energy	-18.4	eV/f.u.

a = 4.9167 Å, b = 4.9167 Å, c = 4.9167 Å
α = 60.00°, β = 60.00°, γ = 60.00°
Atoms (fractional coordinates):
1 Rh 0.2500 0.2500 0.2500
2 Ho 0.5000 0.5000 0.5000
3 La 0.0000 0.0000 0.0000


(5)
VASP calculation (GGA-PBE) on an optimized crystal structure of LaHo2Rh.

Output
spin magnetization	0.0	μB per formula unit
excess energy over the best structure of this formula in the dataset	32	meV per atom
Fermi-level density of states	10.5	states/eV/cell
E_form	-0.48	eV/atom
density	8.510	g/cm3
V	27.888	Å³ per atom
final energy	-23.4	eV/f.u.

a = 3.8137 Å, b = 6.4016 Å, c = 9.5734 Å
α = 90.00°, β = 90.00°, γ = 107.34°
Atoms (fractional coordinates):
1 La 0.9245 0.8497 0.2500
2 La 0.0755 0.1503 0.7500
3 Ho 0.3573 0.7152 0.5691
4 Ho 0.6427 0.2848 0.4309
5 Ho 0.3573 0.7152 0.9309
6 Ho 0.6427 0.2848 0.0691
7 Rh 0.7567 0.5134 0.7500
8 Rh 0.2433 0.4866 0.2500


(6)
VASP calculation (GGA-PBE) on an optimized crystal structure of LaHo2Rh.

Output
spin magnetization	0.0	μB per formula unit
excess energy over the best structure of this formula in the dataset	0	meV per atom
Fermi-level density of states	17.0	states/eV/cell
E_form	-0.51	eV/atom
density	8.478	g/cm3
V	27.992	Å³ per atom
final energy	-23.5	eV/f.u.

a = 6.4769 Å, b = 7.2254 Å, c = 9.5704 Å
α = 90.00°, β = 90.00°, γ = 90.00°
Atoms (fractional coordinates):
1 La 0.6368 0.5403 0.2500
2 La 0.8632 0.0403 0.2500
3 La 0.3632 0.4597 0.7500
4 La 0.1368 0.9597 0.7500
5 Ho 0.1679 0.6745 0.0659
6 Ho 0.3321 0.1745 0.4341
7 Ho 0.8321 0.3255 0.5659
8 Ho 0.6679 0.8255 0.9341
9 Ho 0.8321 0.3255 0.9341
10 Ho 0.6679 0.8255 0.5659
11 Ho 0.1679 0.6745 0.4341
12 Ho 0.3321 0.1745 0.0659
13 Rh 0.0678 0.3782 0.2500
14 Rh 0.4322 0.8782 0.2500
15 Rh 0.9322 0.6218 0.7500
16 Rh 0.5678 0.1218 0.7500